## Al2V2O7 (PBE with a Hubbard U)

Data for a relaxed Al2V2O7 crystal.

Geometry as POSCAR:
```
Al2V2O7
1.0
3.291 -4.062 0.000
3.291 4.062 0.000
-2.932 0.000 9.813
Al V O
4 4 14
Direct
0.117 0.775 0.513
0.225 0.883 0.987
0.775 0.117 0.013
0.883 0.225 0.487
0.237 0.289 0.803
0.289 0.237 0.303
0.711 0.763 0.697
0.763 0.711 0.197
0.018 0.076 0.626
0.076 0.018 0.126
0.111 0.439 0.410
0.128 0.542 0.896
0.439 0.111 0.910
0.458 0.872 0.604
0.488 0.512 0.250
0.512 0.488 0.750
0.542 0.128 0.396
0.561 0.889 0.090
0.872 0.458 0.104
0.889 0.561 0.590
0.924 0.982 0.874
0.982 0.924 0.374
```

Values from the calculation:
Total moment = 4.00 Bohr magnetons per cell
Raw total energy = -0.27817 hartree per atom
Space group = No. 15